1.
Computed, not measured: NpSbS2 after structural relaxation at the PBE level of DFT.

Lattice parameters (Å, degrees): 3.792 3.792 26.085 90.00 90.00 120.00
Sites, in units of the cell vectors:
Np 0.000 0.000 0.000
Np 0.333 0.667 0.667
Np 0.667 0.333 0.333
Sb 0.000 0.000 0.500
Sb 0.333 0.667 0.167
Sb 0.667 0.333 0.833
S 0.000 0.000 0.104
S 0.000 0.000 0.896
S 0.333 0.667 0.563
S 0.333 0.667 0.771
S 0.667 0.333 0.229
S 0.667 0.333 0.437

Values from the calculation:
For the density, the calculation gives 6.48 g/cm³. For the total magnetic moment, the calculation gives 5.09 μB/f.u. Its space-group type is R-3m, No. 166. For the energy, the calculation gives -6.30 eV/atom. The calculation puts the uncorrected formation energy at 0.025 eV per atom.

=====

2.
Computed, not measured: Tb2Ga4CoNi3 after structural relaxation at the PBE level of DFT.

Lattice parameters (Å, degrees): 4.074 4.074 9.877 90.00 90.00 90.00
Sites, in units of the cell vectors:
Tb 0.000 0.500 0.246
Tb 0.500 0.000 0.754
Ga 0.000 0.000 0.500
Ga 0.000 0.500 0.873
Ga 0.500 0.000 0.127
Ga 0.500 0.500 0.500
Co 0.500 0.500 0.000
Ni 0.000 0.000 0.000
Ni 0.000 0.500 0.634
Ni 0.500 0.000 0.366

Values from the calculation:
For the density, the calculation gives 8.43 g/cm³. For the total magnetic moment, the calculation gives 0.00 μB/f.u. Its space-group type is P-4m2, No. 115. The calculation puts the formation enthalpy at 0 K at -0.5411 eV/atom. For the energy, the calculation gives -5.12 eV/atom.

=====

3.
Computed, not measured: ScMo2Ru after structural relaxation at the PBE level of DFT.

Lattice parameters (Å, degrees): 2.849 4.375 5.268 90.00 99.93 90.00
Sites, in units of the cell vectors:
Sc 0.000 0.000 0.000
Mo 0.517 0.000 0.503
Mo 0.723 0.500 0.266
Ru 0.259 0.500 0.761

Values from the calculation:
For the density, the calculation gives 8.68 g/cm³. For the total magnetic moment, the calculation gives 0.00 μB/f.u. Its space-group type is Pm, No. 6. The calculation puts the formation enthalpy at 0 K at -0.0194 eV/atom. For the energy, the calculation gives -9.34 eV/atom.

=====

4.
Computed, not measured: AsRh2Se after structural relaxation at the PBE level of DFT.

Lattice parameters (Å, degrees): 2.941 5.329 8.401 90.00 90.00 90.00
Sites, in units of the cell vectors:
As 0.000 0.000 0.000
As 0.500 0.500 0.500
Rh 0.000 0.500 0.261
Rh 0.000 0.500 0.739
Rh 0.500 0.000 0.239
Rh 0.500 0.000 0.761
Se 0.000 0.000 0.500
Se 0.500 0.500 0.000

Values from the calculation:
For the density, the calculation gives 9.07 g/cm³. For the total magnetic moment, the calculation gives 0.00 μB/f.u. Its space-group type is Immm, No. 71. For the energy, the calculation gives -5.55 eV/atom. The calculation puts the uncorrected formation energy at 0.161 eV per atom.

=====

5.
Computed, not measured: NaDy2Tl after structural relaxation at the PBE level of DFT.

Lattice parameters (Å, degrees): 7.636 7.636 7.636 90.00 90.00 90.00
Sites, in units of the cell vectors:
Na 0.000 0.000 0.000
Na 0.000 0.500 0.500
Na 0.500 0.000 0.500
Na 0.500 0.500 0.000
Dy 0.250 0.250 0.250
Dy 0.250 0.250 0.750
Dy 0.250 0.750 0.250
Dy 0.250 0.750 0.750
Dy 0.750 0.250 0.250
Dy 0.750 0.250 0.750
Dy 0.750 0.750 0.250
Dy 0.750 0.750 0.750
Tl 0.000 0.000 0.500
Tl 0.000 0.500 0.000
Tl 0.500 0.000 0.000
Tl 0.500 0.500 0.500

Values from the calculation:
For the density, the calculation gives 8.24 g/cm³. For the total magnetic moment, the calculation gives 0.00 μB/f.u. Its space-group type is Fm-3m, No. 225. The calculation puts the formation enthalpy at 0 K at -0.0470 eV/atom. For the energy, the calculation gives -3.27 eV/atom.

=====

6.
Computed, not measured: PmEuThTl after structural relaxation at the PBE level of DFT.

Lattice parameters (Å, degrees): 7.975 7.975 7.975 90.00 90.00 90.00
Sites, in units of the cell vectors:
Pm 0.000 0.000 0.000
Pm 0.000 0.500 0.500
Pm 0.500 0.000 0.500
Pm 0.500 0.500 0.000
Eu 0.250 0.250 0.250
Eu 0.250 0.750 0.750
Eu 0.750 0.250 0.750
Eu 0.750 0.750 0.250
Th 0.250 0.250 0.750
Th 0.250 0.750 0.250
Th 0.750 0.250 0.250
Th 0.750 0.750 0.750
Tl 0.000 0.000 0.500
Tl 0.000 0.500 0.000
Tl 0.500 0.000 0.000
Tl 0.500 0.500 0.500

Values from the calculation:
For the density, the calculation gives 9.60 g/cm³. For the total magnetic moment, the calculation gives 8.50 μB/f.u. Its space-group type is F-43m, No. 216. The calculation puts the formation enthalpy at 0 K at 0.0881 eV/atom. For the energy, the calculation gives -6.11 eV/atom.

=====

7.
Computed, not measured: Dy2MgB2Ru5 after structural relaxation at the PBE level of DFT.

Lattice parameters (Å, degrees): 9.690 9.690 3.142 90.00 90.00 90.00
Sites, in units of the cell vectors:
Dy 0.176 0.324 0.000
Dy 0.324 0.824 0.000
Dy 0.676 0.176 0.000
Dy 0.824 0.676 0.000
Mg 0.000 0.000 0.000
Mg 0.500 0.500 0.000
B 0.124 0.624 0.000
B 0.376 0.124 0.000
B 0.624 0.876 0.000
B 0.876 0.376 0.000
Ru 0.000 0.500 0.500
Ru 0.070 0.776 0.500
Ru 0.224 0.070 0.500
Ru 0.276 0.570 0.500
Ru 0.430 0.276 0.500
Ru 0.500 0.000 0.500
Ru 0.570 0.724 0.500
Ru 0.724 0.430 0.500
Ru 0.776 0.930 0.500
Ru 0.930 0.224 0.500

Values from the calculation:
For the density, the calculation gives 9.86 g/cm³. For the total magnetic moment, the calculation gives 0.00 μB/f.u. Its space-group type is P4/mbm, No. 127. The calculation puts the formation enthalpy at 0 K at -0.3394 eV/atom. For the energy, the calculation gives -7.39 eV/atom.

=====

8.
Computed, not measured: Zn2Tc after structural relaxation at the PBE level of DFT.

Lattice parameters (Å, degrees): 2.913 2.913 10.491 90.00 90.00 90.00
Sites, in units of the cell vectors:
Zn 0.250 0.250 0.084
Zn 0.250 0.250 0.745
Zn 0.750 0.750 0.255
Zn 0.750 0.750 0.916
Tc 0.250 0.250 0.428
Tc 0.750 0.750 0.572

Values from the calculation:
For the density, the calculation gives 8.54 g/cm³. For the total magnetic moment, the calculation gives 0.00 μB/f.u. Its space-group type is P4/nmm, No. 129. The calculation puts the formation enthalpy at 0 K at -0.0005 eV/atom. For the energy, the calculation gives -4.31 eV/atom.

=====

9.
Computed, not measured: K2CrRu after structural relaxation at the PBE level of DFT.

Lattice parameters (Å, degrees): 3.082 5.825 5.125 90.00 95.66 90.00
Sites, in units of the cell vectors:
K 0.246 0.000 0.255
K 0.754 0.000 0.745
Cr 0.500 0.500 0.000
Ru 0.000 0.500 0.500

Values from the calculation:
For the density, the calculation gives 4.19 g/cm³. For the total magnetic moment, the calculation gives 3.30 μB/f.u. Its space-group type is P2/m, No. 10. The calculation puts the formation enthalpy at 0 K at 1.2972 eV/atom. For the energy, the calculation gives -3.98 eV/atom.

=====

10.
Computed, not measured: ScTaTe2F after structural relaxation at the PBE level of DFT.

Lattice parameters (Å, degrees): 5.322 5.322 5.205 90.00 90.00 90.00
Sites, in units of the cell vectors:
Sc 0.000 0.000 0.000
Ta 0.000 0.000 0.500
Te 0.000 0.500 0.000
Te 0.500 0.000 0.000
F 0.500 0.500 0.500

Values from the calculation:
For the density, the calculation gives 5.63 g/cm³. For the total magnetic moment, the calculation gives 1.46 μB/f.u. Its space-group type is P4/mmm, No. 123. For the energy, the calculation gives -4.68 eV/atom. The calculation puts the uncorrected formation energy at 0.589 eV per atom.

=====

11.
Computed, not measured: BeCoSn2C after structural relaxation at the PBE level of DFT.

Lattice parameters (Å, degrees): 5.066 5.066 3.490 90.00 90.00 90.00
Sites, in units of the cell vectors:
Be 0.000 0.000 0.000
Co 0.500 0.500 0.500
Sn 0.000 0.500 0.500
Sn 0.500 0.000 0.500
C 0.500 0.500 0.000

Values from the calculation:
For the density, the calculation gives 5.88 g/cm³. For the total magnetic moment, the calculation gives 0.00 μB/f.u. Its space-group type is P4/mmm, No. 123. The calculation puts the formation enthalpy at 0 K at 0.8174 eV/atom. For the energy, the calculation gives -4.79 eV/atom.